1.
PBE-GGA La2TaSi, optimized geometry; formation energy from raw total energies = -0.141 eV/atom
1.0
3.543 0.000 0.000
0.000 3.543 0.000
0.000 0.000 8.534
La Si Ta
2 1 1
direct
0.000 0.000 0.926
0.500 0.500 0.337
0.000 0.000 0.563
0.500 0.500 0.674

---

2.
PBE-GGA YCdBi2, optimized geometry; DFT formation energy = -219.5 meV/atom
1.0
-3.475 -2.711 1.092
0.708 -3.674 2.571
-2.094 1.719 7.041
Bi Y Cd
2 1 1
direct
0.253 0.253 0.242
0.747 0.747 0.758
0.500 0.500 0.500
0.000 0.000 0.000

---

3.
PBE-GGA Ba6AgP, optimized geometry; DFT formation energy = -322.0 meV/atom
1.0
8.059 0.000 0.000
-4.029 6.979 0.000
0.000 0.000 15.448
Ag Ba P
2 12 2
direct
0.667 0.333 0.750
0.333 0.667 0.250
0.002 0.681 0.879
0.681 0.679 0.121
0.002 0.321 0.621
0.998 0.319 0.121
0.681 0.002 0.379
0.319 0.321 0.879
0.679 0.681 0.621
0.321 0.319 0.379
0.679 0.998 0.879
0.321 0.002 0.121
0.319 0.998 0.621
0.998 0.679 0.379
0.000 0.000 0.500
0.000 0.000 0.000

---

4.
PBE-GGA NdErOs, optimized geometry; DFT formation energy = -138.3 meV/atom; offset from the most stable computed form = 9 meV per atom
1.0
5.897 0.000 0.000
0.000 7.709 0.789
0.000 -3.110 6.665
Nd Er Os
4 4 4
direct
0.180 0.683 0.584
0.320 0.183 0.584
0.680 0.817 0.416
0.820 0.317 0.416
0.625 0.642 0.885
0.125 0.858 0.115
0.375 0.358 0.115
0.875 0.142 0.885
0.610 0.999 0.144
0.390 0.001 0.856
0.890 0.499 0.144
0.110 0.501 0.856

---

no.,energy (eV for the cell shown)
1,-27.69
2,-16.02
3,-44.75
4,-83.90